A:
First-principles (GGA-PBE) data for a geometry-optimized BaNaSn4 structure, as listed in Alexandria via LeMat-Bulk.

Output
- Total moment: 0.00 Bohr magnetons per cell

Cell: 4.6570 7.5079 10.8524 Å, 90.00 90.00 90.00°
Closest atoms and distances in Å follow each position.
Fractional coordinates of all 12 atoms:
1 Ba 0.0000 0.0000 0.0000  12 Sn 3.73-3.87, 2 Na 3.75
2 Ba 0.5000 0.5000 0.5000  12 Sn 3.73-3.87, 2 Na 3.75
3 Na 0.0000 0.5000 0.0000  8 Sn 3.34
4 Na 0.5000 0.0000 0.5000  8 Sn 3.34
5 Sn 0.0000 0.2013 0.3283  3 Sn 2.97-3.02
6 Sn 0.0000 0.2013 0.6717  3 Sn 2.97-3.02
7 Sn 0.0000 0.7987 0.3283  3 Sn 2.97-3.02
8 Sn 0.0000 0.7987 0.6717  3 Sn 2.97-3.02
9 Sn 0.5000 0.2987 0.1717  3 Sn 2.97-3.02
10 Sn 0.5000 0.2987 0.8283  3 Sn 2.97-3.02
11 Sn 0.5000 0.7013 0.1717  3 Sn 2.97-3.02
12 Sn 0.5000 0.7013 0.8283  3 Sn 2.97-3.02

---

B:
First-principles (GGA-PBE) data for a geometry-optimized BaNaSn4 structure, as listed in Alexandria via LeMat-Bulk.

Output
- Total moment: 0.00 Bohr magnetons per cell

Cell: 6.4366 6.4366 6.4366 Å, 60.00 60.00 60.00°
Closest atoms and distances in Å follow each position.
Fractional coordinates of all 6 atoms:
1 Ba 0.0000 0.0000 0.0000  12 Sn 3.77, 4 Na 3.94
2 Na 0.2500 0.2500 0.2500  12 Sn 3.77, 4 Ba 3.94
3 Sn 0.1254 0.6249 0.6249  6 Sn 3.21-3.22
4 Sn 0.6249 0.1254 0.6249  6 Sn 3.21-3.22
5 Sn 0.6249 0.6249 0.1254  6 Sn 3.21-3.22
6 Sn 0.6249 0.6249 0.6249  6 Sn 3.21-3.22

---

Stability comparison, relative energies in eV/atom: A 0.000; B 0.047

---

A:
First-principles (GGA-PBE) data for a geometry-optimized BaNa3Sn structure, as listed in Alexandria via LeMat-Bulk.

Output
- Total moment: 0.00 Bohr magnetons per cell

Cell: 6.3243 6.3243 6.3243 Å, 90.00 90.00 90.00°
Closest atoms and distances in Å follow each position.
Fractional coordinates of all 5 atoms:
1 Ba 0.0000 0.0000 0.0000  6 Na 3.16
2 Na 0.0000 0.0000 0.5000  2 Ba 3.16
3 Na 0.0000 0.5000 0.0000  2 Ba 3.16
4 Na 0.5000 0.0000 0.0000  2 Ba 3.16
5 Sn 0.5000 0.5000 0.5000  12 Na 4.47

---

B:
First-principles (GGA-PBE) data for a geometry-optimized BaNa3Sn structure, as listed in Alexandria via LeMat-Bulk.

Output
- Total moment: 0.00 Bohr magnetons per cell

Cell: 5.9497 5.9497 5.9497 Å, 90.00 90.00 90.00°
Closest atoms and distances in Å follow each position.
Fractional coordinates of all 5 atoms:
1 Ba 0.0000 0.0000 0.0000  12 Na 4.21
2 Na 0.0000 0.5000 0.5000  2 Sn 2.97
3 Na 0.5000 0.0000 0.5000  2 Sn 2.97
4 Na 0.5000 0.5000 0.0000  2 Sn 2.97
5 Sn 0.5000 0.5000 0.5000  6 Na 2.97

---

Stability comparison, relative energies in eV/atom: A 0.856; B 0.000